Below is a geometry-optimized KPPdS4 structure, with properties calculated at the GGA-PBEsol level.

Cell lengths 8.5784, 8.5784, 10.4452 Å; angles 90.00, 90.00, 90.00 degrees
Fractional positions:
Pd: 0.0000 0.0000 0.5000
S: 0.0126 0.2691 0.0000
S: 0.7309 0.9874 0.0000
S: 0.2691 0.0126 0.0000
K: 0.5000 0.0000 0.7500
S: 0.7691 0.4874 0.5000
Pd: 0.0000 0.0000 0.0000
S: 0.5126 0.2309 0.5000
P: 0.2489 0.7511 0.5000
S: 0.8589 0.1411 0.3498
K: 0.0000 0.5000 0.7500
S: 0.6411 0.6411 0.8498
P: 0.7511 0.2489 0.5000
S: 0.1411 0.8589 0.3498
S: 0.4874 0.7691 0.5000
S: 0.6411 0.6411 0.1502
S: 0.8589 0.1411 0.6502
P: 0.7489 0.7489 0.0000
K: 0.5000 0.0000 0.2500
Pd: 0.5000 0.5000 0.5000
P: 0.2511 0.2511 0.0000
S: 0.9874 0.7309 0.0000
K: 0.0000 0.5000 0.2500
Pd: 0.5000 0.5000 0.0000
S: 0.1411 0.8589 0.6502
S: 0.3589 0.3589 0.1502
S: 0.2309 0.5126 0.5000
S: 0.3589 0.3589 0.8498

Values from the calculation:
formation energy (no corrections) = -4.46 eV/f.u.
symmetry = P4_2/mnm (136)

Below is a geometry-optimized K2P2PdS6 structure, with properties calculated at the GGA-PBEsol level.

Cell lengths 7.0431, 10.0320, 15.5327 Å; angles 90.00, 90.00, 90.00 degrees
Fractional positions:
K: 0.7500 0.0681 0.3807
S: 0.9904 0.8336 0.2354
S: 0.4904 0.1664 0.7646
S: 0.4904 0.3336 0.2646
S: 0.0096 0.3336 0.2646
K: 0.2500 0.4119 0.6810
S: 0.9921 0.7683 0.9912
S: 0.7500 0.4707 0.5954
S: 0.5079 0.7683 0.9912
P: 0.2500 0.2162 0.4435
P: 0.7500 0.7838 0.5565
P: 0.2500 0.1500 0.8301
S: 0.2500 0.4732 0.9090
S: 0.0079 0.2317 0.0088
S: 0.7500 0.5268 0.0910
Pd: 0.0000 0.0000 0.0000
K: 0.7500 0.9119 0.8190
K: 0.2500 0.5681 0.1193
Pd: 0.0000 0.5000 0.5000
S: 0.2500 0.9707 0.9046
Pd: 0.5000 0.5000 0.5000
S: 0.4921 0.2683 0.5088
S: 0.0079 0.2683 0.5088
K: 0.7500 0.4319 0.8807
S: 0.2500 0.5293 0.4046
S: 0.5096 0.6664 0.7354
S: 0.5079 0.7317 0.4912
S: 0.7500 0.0293 0.0954
P: 0.2500 0.2838 0.9435
S: 0.2500 0.0268 0.4090
Pd: 0.5000 0.0000 0.0000
K: 0.2500 0.0881 0.1810
S: 0.9904 0.6664 0.7354
P: 0.7500 0.8500 0.1699
S: 0.4921 0.2317 0.0088
P: 0.2500 0.3500 0.3301
K: 0.2500 0.9319 0.6193
K: 0.7500 0.5881 0.3190
S: 0.5096 0.8336 0.2354
S: 0.7500 0.9732 0.5910
S: 0.0096 0.1664 0.7646
P: 0.7500 0.6500 0.6699
S: 0.9921 0.7317 0.4912
P: 0.7500 0.7162 0.0565

Values from the calculation:
formation energy (no corrections) = -7.67 eV/f.u.
symmetry = Pnma (62)

Below is a geometry-optimized KPrP2Se6 structure, with properties calculated at the GGA-PBEsol level.

Cell lengths 7.7527, 11.6803, 12.3400 Å; angles 109.01, 90.00, 90.00 degrees
Fractional positions:
P: 0.4032 0.7542 0.3267
Se: 0.5331 0.6826 0.4519
P: 0.9032 0.7458 0.6733
Se: 0.7120 0.8646 0.7849
Se: 0.7880 0.3646 0.7849
Se: 0.8066 0.5607 0.5871
Se: 0.8172 0.8671 0.3300
Se: 0.0331 0.8174 0.5481
Pr: 0.8982 0.5962 0.3511
Se: 0.7836 0.0831 0.1288
Se: 0.4849 0.1226 0.8880
Se: 0.6828 0.3671 0.3300
Se: 0.9669 0.1826 0.4519
P: 0.3821 0.2318 0.7895
P: 0.5968 0.2458 0.6733
Se: 0.9849 0.3774 0.1120
K: 0.5851 0.6314 0.8753
K: 0.9149 0.1314 0.8753
K: 0.4149 0.3686 0.1247
Pr: 0.6018 0.0962 0.3511
Se: 0.1934 0.4393 0.4129
Se: 0.6934 0.0607 0.5871
Pr: 0.1018 0.4038 0.6489
Se: 0.2880 0.1354 0.2151
Se: 0.1828 0.1329 0.6700
P: 0.1179 0.7318 0.7895
Se: 0.2120 0.6354 0.2151
Se: 0.0151 0.6226 0.8880
K: 0.0851 0.8686 0.1247
Se: 0.3066 0.9393 0.4129
Pr: 0.3982 0.9038 0.6489
Se: 0.3172 0.6329 0.6700
Se: 0.2164 0.9169 0.8712
Se: 0.2836 0.4169 0.8712
Se: 0.4669 0.3174 0.5481
Se: 0.7164 0.5831 0.1288
P: 0.6179 0.7682 0.2105
P: 0.8821 0.2682 0.2105
Se: 0.5151 0.8774 0.1120
P: 0.0968 0.2542 0.3267

Values from the calculation:
formation energy (no corrections) = -8.10 eV/f.u.
symmetry = P2_1/c (14)

Below is a geometry-optimized K2PPt structure, with properties calculated at the GGA-PBEsol level.

Cell lengths 4.3804, 8.9903, 8.9903 Å; angles 86.60, 75.90, 75.90 degrees
Fractional positions:
Pt: 0.7500 0.5000 0.5000
K: 0.3750 0.7500 0.7500
K: 0.8750 0.2500 0.7500
K: 0.8750 0.2500 0.2500
P: 0.5000 0.0000 0.0000
P: 0.2500 0.5000 0.5000
Pt: 0.0000 0.0000 0.0000
K: 0.8750 0.7500 0.2500

Values from the calculation:
ΔE_f = -0.3517 eV/atom
symmetry = I4_1/amd (141)

Below is a geometry-optimized KPPt2 structure, with properties calculated at the GGA-PBEsol level.

Cell lengths 3.9778, 3.9779, 5.7178 Å; angles 90.06, 90.00, 90.00 degrees
Fractional positions:
Pt: 0.0000 0.1253 0.0531
K: 0.0000 0.6244 0.5300
P: 0.5000 0.1250 0.8639
Pt: 0.5000 0.6253 0.0531

Values from the calculation:
ΔE_f = -0.4379 eV/atom
symmetry = Pm (6)

Below is a geometry-optimized KPPt structure, with properties calculated at the GGA-PBEsol level.

Cell lengths 4.6179, 4.6179, 4.6179 Å; angles 60.00, 60.00, 60.00 degrees
Fractional positions:
P: 0.0000 0.0000 0.0000
Pt: 0.5000 0.5000 0.5000
K: 0.2500 0.2500 0.2500

Values from the calculation:
ΔE_f = 1.3805 eV/atom
symmetry = F-43m (216)

Raw total energy across the listed records, respectively: -139.52, -215.11, -196.40, -32.86, -22.60, -9.75 eV/cell.
Magnetic moment across the listed records, respectively: 0.00, 0.00, 0.00, 0.00, 0.00, 0.00 μB/f.u..
Ρ across the listed records, respectively: 2.6, 2.7, 4.5, 3.0, 8.4, 6.3 g/cm³.